# 1
KLa2Br, relaxed, DFT PBE-GGA; SG = R3m (160); formation energy from raw total energies = -0.623 eV per atom; E = -15.1 eV for the cell shown; energy above the lowest structure with this stoichiometry = 0.00 eV/f.u.; DOS(E_F) = 1.82 states/eV/cell
1.0
-5.101 -6.076 -8.464
-1.903 -8.328 -7.850
-5.115 -8.790 -5.581
La Br K
2 1 1
direct
0.990 0.990 0.990 La
0.238 0.238 0.238 La
0.505 0.505 0.505 Br
0.766 0.766 0.766 K

# 2
KLa2Br, relaxed, DFT PBE-GGA; SG = I4_1/amd (141); formation energy from raw total energies = -0.072 eV per atom; E = -25.8 eV for the cell shown; energy above the lowest structure with this stoichiometry = 2.21 eV/f.u.; DOS(E_F) = 6.88 states/eV/cell
1.0
6.066 0.000 0.000
0.000 6.066 0.000
3.033 3.033 10.838
Br La K
2 4 2
direct
0.750 0.250 0.500 Br
0.000 0.000 0.000 Br
0.375 0.125 0.750 La
0.875 0.125 0.750 La
0.875 0.125 0.250 La
0.875 0.625 0.250 La
0.500 0.500 0.000 K
0.250 0.750 0.500 K

# 3
KLi2LaBr6, relaxed, DFT PBE-GGA; SG = R3 (146); formation energy from raw total energies = -1.736 eV per atom; E = -37.3 eV for the cell shown; DOS(E_F) = 0.00 states/eV/cell
1.0
7.409 -0.001 0.000
3.704 6.415 0.000
3.704 2.139 6.646
Br La Li K
6 1 2 1
direct
0.339 0.744 0.748 Br
0.891 0.617 0.236 Br
0.168 0.339 0.748 Br
0.256 0.891 0.236 Br
0.617 0.256 0.236 Br
0.744 0.169 0.748 Br
0.317 0.317 0.049 La
0.010 0.011 0.968 Li
0.518 0.518 0.445 Li
0.800 0.800 0.600 K

# 4
KLiLa2Br, relaxed, DFT PBE-GGA; SG = P4/mmm (123); formation energy from raw total energies = -0.108 eV per atom; E = -15.1 eV for the cell shown; DOS(E_F) = 8.66 states/eV/cell
1.0
5.985 0.000 0.000
0.000 5.024 0.000
0.000 0.000 5.985
La K Li Br
2 1 1 1
direct
0.500 0.000 0.000 La
0.000 0.000 0.500 La
0.500 0.500 0.500 K
0.000 0.500 0.000 Li
0.000 0.000 0.000 Br

# 5
KLaMgBr6, relaxed, DFT PBE-GGA; SG = P-31c (163); formation energy from raw total energies = -1.766 eV per atom; E = -67.1 eV for the cell shown; DOS(E_F) = 0.00 states/eV/cell
1.0
-4.999 -5.406 0.550
7.073 -1.635 -1.346
2.488 -0.863 14.123
Br La K Mg
12 2 2 2
direct
0.975 0.619 0.361 Br
0.644 0.619 0.139 Br
0.025 0.644 0.861 Br
0.356 0.381 0.861 Br
0.381 0.356 0.361 Br
0.025 0.381 0.639 Br
0.619 0.975 0.861 Br
0.619 0.644 0.639 Br
0.381 0.025 0.139 Br
0.356 0.975 0.639 Br
0.975 0.356 0.139 Br
0.644 0.025 0.361 Br
0.667 0.333 0.750 La
0.333 0.667 0.250 La
0.000 0.000 0.500 K
0.000 0.000 0.000 K
0.667 0.333 0.250 Mg
0.333 0.667 0.750 Mg

# 6
KLaMg2Br8, relaxed, DFT PBE-GGA; SG = P-1 (2); formation energy from raw total energies = -1.634 eV per atom; E = -42.2 eV for the cell shown; DOS(E_F) = 0.00 states/eV/cell
1.0
6.909 0.516 0.580
0.587 6.902 0.598
0.728 0.755 9.440
Br Mg K La
8 2 1 1
direct
0.710 0.727 0.048 Br
0.290 0.273 0.952 Br
0.762 0.212 0.231 Br
0.664 0.680 0.492 Br
0.238 0.788 0.769 Br
0.198 0.746 0.235 Br
0.802 0.254 0.765 Br
0.336 0.320 0.508 Br
0.542 0.545 0.294 Mg
0.458 0.455 0.706 Mg
0.000 0.000 0.500 K
0.000 0.000 0.000 La